CaOsRu2 | PBE | relaxed

a = 2.810 Å, b = 3.729 Å, c = 6.606 Å
α = 90.00°, β = 90.00°, γ = 90.00°
Element x y z (fractional)
Ru 0.000 0.000 0.944
Ru 0.000 0.000 0.556
Ca 0.500 0.500 0.250
Os 0.500 0.500 0.750

Output
- energy relative to the elements (eV/atom) = 0.387
- space-group type = No. 47
- offset from the most stable computed form (eV per formula unit) = 0.14